Er2HfZr3N6 | PBE | optimized geometry

Cell and atoms, written as POSCAR:
```
Er2HfZr3N6
1.0
5.7050 0.0011 -0.0006
-2.8501 4.9420 -0.0006
-0.9528 -1.6497 5.4064
N Er Zr Hf
6 2 3 1
Cartesian
1.9348 3.3501 1.3740
-0.0327 -0.0567 4.0313
0.0656 3.2937 4.0473
1.8365 -0.0003 1.3579
-0.9181 1.5905 1.3579
2.8202 1.7029 4.0473
0.0017 3.2950 -0.0006
2.8532 1.6482 -0.0006
3.7969 0.0031 2.7026
-1.8949 3.2903 2.7026
0.9510 1.6467 2.7026
0.0000 0.0000 0.0000
```

As for the magnetization: 0.000 μB/f.u. For the calculated total energy, the calculation gives -115.6 eV per cell. Its space group is C2/m. The density of states at the Fermi level is 3.29 states/eV/cell.

Er3HfZr4N8 | PBE | optimized geometry

Cell and atoms, written as POSCAR:
```
Er3HfZr4N8
1.0
6.6044 0.0000 0.0000
0.0000 6.6259 0.0099
-3.3022 -3.2989 4.6726
N Zr Er Hf
8 4 3 1
Cartesian
0.0000 3.3662 2.3010
1.5975 4.9621 0.0401
5.0069 4.9621 0.0401
1.7047 -1.6351 4.6424
0.0000 -0.0488 2.2994
-1.7047 -1.6351 4.6424
3.3022 -0.0392 2.3815
3.3022 3.3758 2.3831
3.3022 0.0000 0.0000
1.6511 -1.6495 2.3363
0.0000 0.0000 0.0000
-1.6511 -1.6495 2.3363
-1.6511 1.6635 2.3413
3.3022 3.3130 0.0049
1.6511 1.6635 2.3413
0.0000 3.3130 0.0049
```

As for the magnetization: 0.000 μB/f.u. For the calculated total energy, the calculation gives -152.5 eV per cell. Its space group is R-3m. The density of states at the Fermi level is 5.16 states/eV/cell.

Na4Er3HfS8 | PBE | optimized geometry

Cell and atoms, written as POSCAR:
```
Na4Er3HfS8
1.0
7.7438 0.0000 0.0000
0.0000 8.0514 0.2068
-3.8719 -3.8677 5.4790
S Er Na Hf
8 3 4 1
Cartesian
1.8583 2.1876 0.1191
0.0000 0.1950 2.8720
5.8855 2.1876 0.1191
3.8719 3.9888 2.8138
0.0000 4.0077 2.7176
3.8719 0.1761 2.9682
-2.0136 1.9962 5.5667
2.0136 1.9962 5.5667
-1.9359 2.0919 2.8429
3.8719 4.0257 0.1034
1.9359 2.0919 2.8429
0.0000 0.0000 0.0000
-1.9359 -1.9338 2.7395
1.9359 -1.9338 2.7395
3.8719 0.0000 0.0000
0.0000 4.0257 0.1034
```

As for the magnetization: 0.000 μB/f.u. For the calculated total energy, the calculation gives -89.7 eV per cell. Its space group is R-3m. The density of states at the Fermi level is 3.97 states/eV/cell.

Na3Er2HfSe6 | PBE | optimized geometry

Cell and atoms, written as POSCAR:
```
Na3Er2HfSe6
1.0
6.9393 -0.0009 -0.0019
-3.4688 6.0102 -0.0019
-1.1595 -2.0077 7.0565
Se Na Er Hf
6 3 2 1
Cartesian
0.0889 4.0028 5.4532
-0.0497 -0.0860 5.4567
2.2222 -0.0012 1.5995
2.3607 4.0876 1.5960
3.4226 2.0774 5.4532
-1.1116 1.9242 1.5995
4.5943 0.0148 3.5263
-2.2832 3.9868 3.5263
1.1555 2.0008 3.5263
0.0040 4.0045 -0.0019
3.4666 2.0047 -0.0019
0.0000 0.0000 0.0000
```

As for the magnetization: 0.000 μB/f.u. For the calculated total energy, the calculation gives -62.3 eV per cell. Its space group is C2/m. The density of states at the Fermi level is 3.96 states/eV/cell.

Na2ErHfSe4 | PBE | optimized geometry

Cell and atoms, written as POSCAR:
```
Na2ErHfSe4
1.0
-3.6433 -1.3326 -0.7177
2.2882 -3.2234 -5.6314
0.5983 -4.7128 5.7132
Se Na Hf Er
4 2 1 1
Cartesian
1.8048 -3.4064 -2.8373
1.0818 -4.5298 2.9191
0.3464 -6.7069 -0.1492
-1.1032 -2.5619 -0.4867
1.4433 -3.9681 0.0409
-1.5225 -3.0227 2.4978
-0.6775 -2.2780 -3.1745
0.0000 0.0000 0.0000
```

As for the magnetization: 0.000 μB/f.u. For the calculated total energy, the calculation gives -42.7 eV per cell. Its space group is P2/m. The density of states at the Fermi level is 2.76 states/eV/cell.

Na2ErHfTe4 | PBE | optimized geometry

Cell and atoms, written as POSCAR:
```
Na2ErHfTe4
1.0
4.2186 0.0000 0.0000
0.0000 7.3635 0.1253
0.0000 -2.5522 7.6279
Te Er Na Hf
4 1 2 1
Cartesian
0.0000 4.8093 1.7947
2.1093 3.5252 5.9726
2.1093 1.2861 1.7806
0.0000 0.0019 5.9584
0.0000 0.0000 0.0000
2.1093 -1.2761 3.8139
0.0000 2.4056 3.8766
2.1093 3.6817 0.0626
```

As for the magnetization: 0.000 μB/f.u. For the calculated total energy, the calculation gives -38.0 eV per cell. Its space group is P2/m. The density of states at the Fermi level is 2.89 states/eV/cell.

Na2ErHf2Te6 | PBE | optimized geometry

Cell and atoms, written as POSCAR:
```
Na2ErHf2Te6
1.0
7.2002 -0.0404 0.0817
-3.5939 6.2393 0.0817
-1.2713 -2.1853 7.7279
Hf Na Te Er
2 2 6 1
Cartesian
2.9822 0.9510 3.9456
-0.6472 3.0625 3.9456
5.4691 0.9667 0.0817
-1.8627 5.2321 0.0817
1.6867 2.8993 5.7007
1.8309 -1.1326 5.6385
0.5040 5.1462 2.2527
-1.8896 1.0318 5.6385
4.2245 2.9817 2.2527
0.6483 1.1143 2.1905
-0.6357 -1.0926 3.8640
```

As for the magnetization: 0.000 μB/f.u. For the calculated total energy, the calculation gives -56.8 eV per cell. Its space group is C2/m. The density of states at the Fermi level is 4.42 states/eV/cell.

ErHf2Nb | PBE | optimized geometry

Cell and atoms, written as POSCAR:
```
ErHf2Nb
1.0
3.2142 0.0000 0.0000
1.6071 2.7836 0.0000
1.6071 0.9279 10.2807
Hf Er Nb
2 1 1
Cartesian
1.6071 0.9279 2.3517
1.6071 0.9279 7.9311
3.2142 1.8557 5.1376
3.2142 1.8557 0.0005
```

As for the magnetization: 0.000 μB/f.u. The calculation puts the formation energy at 0.85 eV per formula unit. Its space group is R3m. The density of states at the Fermi level is 5.77 states/eV/cell.

ErHf2Nb | PBE | optimized geometry

Cell and atoms, written as POSCAR:
```
ErHf2Nb
1.0
-2.4192 2.4071 1.0002
-0.9175 -2.0636 2.7471
5.0296 3.3205 4.1742
Nb Er Hf
1 1 2
Cartesian
-1.6684 0.1717 1.8737
0.8464 1.8320 3.9607
4.0059 2.6447 3.3246
1.0237 0.6758 0.8496
```

As for the magnetization: 0.000 μB/f.u. The calculation puts the formation energy at 0.44 eV per formula unit. Its space group is P4/mmm. The density of states at the Fermi level is 6.25 states/eV/cell.

ErHf2Nb | PBE | optimized geometry

Cell and atoms, written as POSCAR:
```
ErHf2Nb
1.0
-1.4613 -2.4312 1.4083
-1.4529 -2.2033 -1.7505
8.2561 -7.3181 -0.5059
Er Hf Nb
1 2 1
Cartesian
0.0000 0.0000 0.0000
5.6172 -5.6670 -0.3938
-0.2752 -6.2857 -0.4542
2.6710 -5.9763 -0.4240
```

As for the magnetization: 0.000 μB/f.u. The calculation puts the formation energy at 1.37 eV per formula unit. Its space group is R-3m. The density of states at the Fermi level is 5.14 states/eV/cell.

ErHfNb4 | PBE | optimized geometry

Cell and atoms, written as POSCAR:
```
ErHfNb4
1.0
-3.5699 -1.5960 4.0312
1.9597 -1.6014 5.0137
-0.7963 3.2650 4.4997
Nb Hf Er
4 1 1
Cartesian
-1.5042 0.0422 8.4661
-1.1059 -1.5909 6.2153
-2.4845 0.8432 5.9582
0.2814 0.8406 6.4497
0.0000 0.0000 0.0000
-0.6016 0.0169 3.3862
```

As for the magnetization: 0.000 μB/f.u. The calculation puts the formation energy at 0.76 eV per formula unit. Its space group is F-43m. The density of states at the Fermi level is 12.13 states/eV/cell.

ErHfZrNb | PBE | optimized geometry

Cell and atoms, written as POSCAR:
```
ErHfZrNb
1.0
5.0324 0.0000 0.0000
2.5162 4.3582 0.0000
2.5162 1.4527 4.1089
Hf Zr Nb Er
1 1 1 1
Cartesian
0.0000 0.0000 0.0000
5.0324 2.9054 2.0545
2.5162 1.4527 1.0272
7.5485 4.3582 3.0817
```

As for the magnetization: 0.000 μB/f.u. The calculation puts the formation energy at 0.88 eV per formula unit. Its space group is F-43m. The density of states at the Fermi level is 6.28 states/eV/cell.